Here is a relaxed structure of NaNb2GePb from the Alexandria database. Energies are from GGA-PBE.

Cell lengths 4.902, 5.601, 4.902 Å; angles 90.00, 90.00, 90.00 degrees
Element x y z (fractional)
Nb 0.500 0.000 0.000
Nb 0.000 0.000 0.500
Pb 0.000 0.500 0.000
Na 0.500 0.500 0.500
Ge 0.000 0.000 0.000

Calculated values
Calculated volume = 134.6 Å³/f.u.
DFT formation energy = 4.77 eV/f.u.
SG = P4/mmm (123)
M_tot = 0.0 μB/f.u.